VASP calculation (PBE-GGA) on Fe2PtSe after structural relaxation.

Unit cell a=3.106 b=3.117 c=6.056 alpha=90.00 beta=90.00 gamma=90.00
Atoms (fractional coordinates):
Fe1 0.000 0.000 0.000
Fe2 0.500 0.500 0.233
Pt1 0.000 0.000 0.462
Se1 0.500 0.500 0.801

Values from the calculation:
* space-group type: No. 25
* ΔE_f (raw): 0.055 eV/atom
* N(E_F): 2.4 states/eV per cell